No. 1
Pm2HoTl4 after structural relaxation, computed with PBE-GGA.

- E above lowest polymorph: 0.0 meV per atom
- Crystal system: orthorhombic

Geometry as POSCAR:
```
Pm2HoTl4
1.0
-1.980 -1.128 4.810
6.230 -4.655 1.473
5.089 8.072 3.987
Pm Ho Tl
4 2 8
Direct
0.500 0.000 0.789 Pm
0.500 0.000 0.211 Pm
0.500 0.500 0.711 Pm
0.500 0.500 0.289 Pm
0.000 0.000 0.500 Ho
0.000 0.500 0.000 Ho
0.000 0.750 0.750 Tl
0.000 0.250 0.250 Tl
0.000 0.250 0.750 Tl
0.000 0.750 0.250 Tl
0.500 0.789 0.500 Tl
0.500 0.211 0.500 Tl
0.500 0.711 0.000 Tl
0.500 0.289 0.000 Tl
```

***

No. 2
Pm3Ho4Tl4 after structural relaxation, computed with PBE-GGA.

- Crystal system: orthorhombic

Geometry as POSCAR:
```
Pm3Ho4Tl4
1.0
-0.246 2.116 3.158
-2.734 -7.882 5.068
10.180 1.080 -2.229
Pm Ho Tl
3 4 4
Direct
0.102 0.102 0.204 Pm
0.898 0.898 0.796 Pm
0.000 0.500 0.000 Pm
0.333 0.132 0.665 Ho
0.667 0.467 0.335 Ho
0.667 0.868 0.335 Ho
0.333 0.533 0.665 Ho
0.254 0.754 0.508 Tl
0.746 0.246 0.492 Tl
0.500 0.779 0.000 Tl
0.500 0.221 0.000 Tl
```

***

No. 3
Pm7Ho3Tl2 after structural relaxation, computed with PBE-GGA.

- Crystal system: monoclinic

Geometry as POSCAR:
```
Pm7Ho3Tl2
1.0
-1.775 2.311 2.236
-3.971 0.694 -3.870
-7.676 -14.837 9.239
Pm Ho Tl
7 3 2
Direct
0.500 0.731 0.461 Pm
0.500 0.269 0.539 Pm
0.000 0.575 0.148 Pm
0.000 0.000 0.000 Pm
0.000 0.425 0.852 Pm
0.500 0.908 0.817 Pm
0.500 0.092 0.183 Pm
0.500 0.500 0.000 Ho
0.000 0.183 0.365 Ho
0.000 0.817 0.635 Ho
0.500 0.648 0.295 Tl
0.500 0.352 0.705 Tl
```

***

No. 4
Pm5Ho3Tl after structural relaxation, computed with PBE-GGA.

- Crystal system: monoclinic

Geometry as POSCAR:
```
Pm5Ho3Tl
1.0
7.871 0.904 -0.885
3.024 7.323 -0.885
2.129 1.608 11.042
Pm Ho Tl
10 6 2
Direct
0.914 0.339 0.246 Pm
0.332 0.668 0.000 Pm
0.762 0.762 0.038 Pm
0.492 0.492 0.370 Pm
0.508 0.508 0.630 Pm
0.238 0.238 0.962 Pm
0.339 0.914 0.246 Pm
0.668 0.332 0.000 Pm
0.086 0.661 0.754 Pm
0.661 0.086 0.754 Pm
0.669 0.669 0.784 Ho
0.742 0.742 0.475 Ho
0.000 0.000 0.000 Ho
0.000 0.000 0.500 Ho
0.331 0.331 0.216 Ho
0.258 0.258 0.525 Ho
0.097 0.097 0.740 Tl
0.903 0.903 0.260 Tl
```

***

No. 5
Pm3HoTl4 after structural relaxation, computed with PBE-GGA.

- E above lowest polymorph: 0.0 meV per atom
- Crystal system: tetragonal

Geometry as POSCAR:
```
Pm3HoTl4
1.0
3.843 0.000 0.000
0.000 3.843 0.000
0.000 0.000 15.513
Tl Ho Pm
4 1 3
Direct
0.000 0.000 0.883 Tl
0.000 0.000 0.117 Tl
0.000 0.000 0.372 Tl
0.000 0.000 0.628 Tl
0.500 0.500 0.000 Ho
0.500 0.500 0.245 Pm
0.500 0.500 0.500 Pm
0.500 0.500 0.755 Pm
```

***

No. 6
PmHoTl after structural relaxation, computed with PBE-GGA.

- E above lowest polymorph: 39.6 meV per atom
- Crystal system: tetragonal

Geometry as POSCAR:
```
PmHoTl
1.0
3.637 0.000 0.000
0.000 3.637 0.000
-1.818 -1.818 6.850
Tl Ho Pm
1 1 1
Direct
0.954 0.954 0.908 Tl
0.604 0.604 0.208 Ho
0.292 0.292 0.584 Pm
```

***

No. 7
Pm2Ho3Tl3 after structural relaxation, computed with PBE-GGA.

- E above lowest polymorph: 0.0 meV per atom
- Crystal system: hexagonal

Geometry as POSCAR:
```
Pm2Ho3Tl3
1.0
-4.389 -4.408 -2.603
-1.162 -3.705 8.236
-5.320 6.883 -2.687
Pm Ho Tl
4 6 6
Direct
0.000 0.333 0.667 Pm
0.500 0.667 0.333 Pm
0.000 0.667 0.333 Pm
0.500 0.333 0.667 Pm
0.750 0.233 0.000 Ho
0.750 0.767 0.767 Ho
0.750 0.000 0.233 Ho
0.250 0.767 0.000 Ho
0.250 0.233 0.233 Ho
0.250 0.000 0.767 Ho
0.750 0.602 0.000 Tl
0.750 0.398 0.398 Tl
0.750 0.000 0.602 Tl
0.250 0.398 0.000 Tl
0.250 0.602 0.602 Tl
0.250 0.000 0.398 Tl
```

***

No. 8
Pm9HoTl2 after structural relaxation, computed with PBE-GGA.

- Crystal system: tetragonal

Geometry as POSCAR:
```
Pm9HoTl2
1.0
4.978 0.000 0.000
0.000 4.978 0.000
0.000 0.000 15.296
Pm Ho Tl
9 1 2
Direct
0.500 0.500 0.000 Pm
0.500 0.500 0.336 Pm
0.500 0.500 0.664 Pm
0.500 0.000 0.172 Pm
0.500 0.000 0.500 Pm
0.500 0.000 0.828 Pm
0.000 0.500 0.172 Pm
0.000 0.500 0.500 Pm
0.000 0.500 0.828 Pm
0.000 0.000 0.000 Ho
0.000 0.000 0.339 Tl
0.000 0.000 0.661 Tl
```

***

No. 9
PmHo2Tl after structural relaxation, computed with PBE-GGA.

- E above lowest polymorph: 184.9 meV per atom
- Crystal system: cubic

Geometry as POSCAR:
```
PmHo2Tl
1.0
5.483 0.000 0.000
2.741 4.748 0.000
2.741 1.583 4.477
Tl Ho Pm
1 2 1
Direct
0.500 0.500 0.500 Tl
0.250 0.250 0.250 Ho
0.750 0.750 0.750 Ho
0.000 0.000 0.000 Pm
```

***

No. 10
Pm4Ho2Tl after structural relaxation, computed with PBE-GGA.

- Crystal system: orthorhombic

Geometry as POSCAR:
```
Pm4Ho2Tl
1.0
-0.465 -2.105 -5.679
5.937 -1.758 0.166
-4.689 -4.722 2.134
Pm Ho Tl
4 2 1
Direct
0.500 0.635 0.270 Pm
0.000 0.831 0.663 Pm
0.500 0.365 0.730 Pm
0.000 0.169 0.337 Pm
0.500 0.117 0.235 Ho
0.500 0.883 0.765 Ho
0.000 0.500 0.000 Tl
```

***

No. 11
Pm5Ho6Tl after structural relaxation, computed with PBE-GGA.

- Crystal system: orthorhombic

Geometry as POSCAR:
```
Pm5Ho6Tl
1.0
-4.295 1.497 2.044
-2.371 -6.699 -6.151
4.705 -4.261 6.932
Tl Ho Pm
1 6 5
Direct
0.000 0.000 0.000 Tl
0.246 0.081 0.412 Ho
0.754 0.588 0.919 Ho
0.745 0.245 0.245 Ho
0.255 0.755 0.755 Ho
0.246 0.412 0.081 Ho
0.754 0.919 0.588 Ho
0.500 0.168 0.832 Pm
0.000 0.337 0.663 Pm
0.500 0.500 0.500 Pm
0.000 0.663 0.337 Pm
0.500 0.832 0.168 Pm
```

***

No. 12
PmHo4Tl2 after structural relaxation, computed with PBE-GGA.

- E above lowest polymorph: 0.0 meV per atom
- Crystal system: monoclinic

Geometry as POSCAR:
```
PmHo4Tl2
1.0
5.275 0.000 1.107
2.913 8.185 -0.762
0.527 -3.891 10.605
Pm Ho Tl
2 8 4
Direct
0.025 0.876 0.074 Pm
0.975 0.124 0.926 Pm
0.312 0.047 0.328 Ho
0.660 0.598 0.081 Ho
0.010 0.287 0.694 Ho
0.652 0.382 0.314 Ho
0.348 0.618 0.686 Ho
0.990 0.713 0.306 Ho
0.340 0.402 0.919 Ho
0.688 0.953 0.672 Ho
0.657 0.186 0.501 Tl
0.315 0.236 0.133 Tl
0.685 0.764 0.867 Tl
0.343 0.814 0.499 Tl
```

***

| no. | VASP energy (eV/atom) |
| --- | --- |
| 1 | -3.61 |
| 2 | -4.05 |
| 3 | -4.31 |
| 4 | -4.03 |
| 5 | -3.91 |
| 6 | -4.12 |
| 7 | -4.06 |
| 8 | -4.46 |
| 9 | -4.07 |
| 10 | -3.93 |
| 11 | -4.49 |
| 12 | -4.09 |